No. 1
Below is ZnAgSb2Te at its PBEsol-relaxed geometry, with properties calculated at the SCAN level.

Output
Calculated volume: 149.54 Å³ per cell
Symmetry: P4/mmm
E_tot: -30.51 eV/atom
Calculated density: 6.045 g cm⁻³
Formation energy from raw total energies: 816.2 meV per atom
Crystal system: tetragonal

Lattice parameters (Å, degrees): 5.2777 5.2777 5.3686 90.00 90.00 90.00
Positions (direct):
1 Te 0.0000 0.0000 0.5000
2 Ag 0.0000 0.0000 0.0000
3 Zn 0.5000 0.5000 0.5000
4 Sb 0.0000 0.5000 0.0000
5 Sb 0.5000 0.0000 0.0000

---

No. 2
Below is Mn5CrO12 at its PBEsol-relaxed geometry, with properties calculated at the SCAN level.

Output
Calculated volume: 202.51 Å³ per cell
Symmetry: C2/m
E_tot: -12.29 eV/atom
Calculated density: 4.253 g cm⁻³
Formation energy from raw total energies: -2039.7 meV per atom
Crystal system: monoclinic

Lattice parameters (Å, degrees): 4.9345 4.9389 9.5923 89.83 89.66 60.03
Site moments in Bohr magnetons follow the coordinates.
Positions (direct):
1 O 0.8323 0.0000 0.5989  0.04
2 O 0.1656 0.3333 0.5989  0.04
3 O 0.6655 0.3357 0.9012  0.02
4 O 0.4989 0.6667 0.5989  0.04
5 O 0.3345 0.6643 0.0988  0.02
6 O 0.1677 0.0000 0.4011  0.04
7 O 0.6631 0.0000 0.0988  0.02
8 O 0.3369 0.0000 0.9012  0.02
9 O 0.5011 0.3333 0.4011  0.04
10 O 0.0012 0.6643 0.9012  0.02
11 O 0.8344 0.6667 0.4011  0.04
12 O 0.9988 0.3357 0.0988  0.02
13 Mn 0.6667 0.6667 0.0000  2.84
14 Mn 0.3333 0.3333 0.0000  2.84
15 Mn 0.5000 0.0000 0.5000  2.86
16 Mn 0.8333 0.3334 0.5000  2.86
17 Mn 0.1667 0.6666 0.5000  2.86
18 Cr 0.0000 0.0000 0.0000  2.08

---

No. 3
Below is LiLaTa3 at its PBEsol-relaxed geometry, with properties calculated at the SCAN level.

Output
Calculated volume: 116.78 Å³ per cell
Symmetry: Pm-3m
Formation enthalpy at 0 K: 2.22 eV per atom
E_tot: -46.83 eV/atom
Calculated density: 9.793 g cm⁻³
Crystal system: cubic

Lattice parameters (Å, degrees): 4.8879 4.8879 4.8879 90.00 90.00 90.00
Positions (direct):
1 La 0.0000 0.0000 0.0000
2 Ta 0.0000 0.0000 0.5000
3 Ta 0.0000 0.5000 0.0000
4 Ta 0.5000 0.0000 0.0000
5 Li 0.5000 0.5000 0.5000